Entry 1:
Here is a geometry-optimized Tl2CoAg structure from Alexandria via LeMat-Bulk. Energies are from PBE-GGA.

Cell: 3.2520 3.2520 27.8873 Å, 90.00 90.00 120.00°
Space group R3m (No. 160, hexagonal axes)
Unique sites:
Tl 0.0000 0.0000 0.0000
Tl 0.0000 0.0000 0.2310
Co 0.0000 0.0000 0.4918
Ag 0.0000 0.0000 0.7568

Calculated values
Total magnetic moment = 1.3 μB/f.u.
ΔE to the lowest computed polymorph = 144 meV per atom
Crystal system = trigonal
Formation energy from the elements = 503 meV/atom


Entry 2:
Here is a geometry-optimized Tl2Co2Ag structure from Alexandria via LeMat-Bulk. Energies are from PBE-GGA.

Cell: 6.857 6.857 3.798 Å, 90.00 90.00 90.00°
Space group P4/mbm (No. 127)
Unique sites:
Tl 0.176 0.324 0.000
Co 0.121 0.621 0.500
Ag 0.000 0.000 0.500

Calculated values
Total magnetic moment = 2.3 μB/f.u.
ΔE to the lowest computed polymorph = 36 meV per atom
Crystal system = tetragonal
Formation energy from the elements = 453 meV/atom


Entry 3:
Here is a geometry-optimized TlCo2Ag structure from Alexandria via LeMat-Bulk. Energies are from PBE-GGA.

Cell: 6.332 6.332 6.332 Å, 90.00 90.00 90.00°
Space group F-43m (No. 216)
Unique sites:
Tl 0.000 0.000 0.000
Co 0.000 0.000 0.500
Co 0.250 0.250 0.750
Ag 0.250 0.250 0.250

Calculated values
Total magnetic moment = 3.2 μB/f.u.
ΔE to the lowest computed polymorph = 213 meV per atom
Crystal system = cubic
Formation energy from the elements = 586 meV/atom


Entry 4:
Here is a geometry-optimized Tl2CoAg structure from Alexandria via LeMat-Bulk. Energies are from PBE-GGA.

Cell: 3.313 5.484 9.150 Å, 90.00 90.00 90.00°
Space group Immm (No. 71)
Unique sites:
Tl 0.000 0.000 0.227
Co 0.000 0.500 0.500
Ag 0.000 0.500 0.000

Calculated values
Total magnetic moment = 1.2 μB/f.u.
ΔE to the lowest computed polymorph = 161 meV per atom
Crystal system = orthorhombic
Formation energy from the elements = 521 meV/atom


Entry 5:
Here is a geometry-optimized Tl2CoAg structure from Alexandria via LeMat-Bulk. Energies are from PBE-GGA.

Cell: 3.296 4.593 5.580 Å, 90.00 90.00 90.00°
Space group Pmmm (No. 47)
Unique sites:
Tl 0.000 0.000 0.000
Tl 0.500 0.000 0.500
Co 0.000 0.500 0.500
Ag 0.500 0.500 0.000

Calculated values
Total magnetic moment = 1.5 μB/f.u.
ΔE to the lowest computed polymorph = 203 meV per atom
Crystal system = orthorhombic
Formation energy from the elements = 563 meV/atom


Entry 6:
Here is a geometry-optimized Tl2CoAg structure from Alexandria via LeMat-Bulk. Energies are from PBE-GGA.

Cell: 3.3081 3.3081 26.0857 Å, 90.00 90.00 120.00°
Space group R-3m (No. 166, hexagonal axes)
Unique sites:
Tl 0.0000 0.0000 0.2414
Co 0.0000 0.0000 0.5000
Ag 0.0000 0.0000 0.0000

Calculated values
Total magnetic moment = 1.2 μB/f.u.
ΔE to the lowest computed polymorph = 126 meV per atom
Crystal system = trigonal
Formation energy from the elements = 485 meV/atom


Entry 7:
Here is a geometry-optimized Tl2CoAg structure from Alexandria via LeMat-Bulk. Energies are from PBE-GGA.

Cell: 3.070 4.396 12.295 Å, 90.00 90.00 90.00°
Space group Imm2 (No. 44)
Unique sites:
Tl 0.000 0.000 0.000
Tl 0.000 0.500 0.207
Co 0.000 0.000 0.517
Ag 0.000 0.500 0.829

Calculated values
Total magnetic moment = 0.5 μB/f.u.
ΔE to the lowest computed polymorph = 0 meV per atom
Crystal system = orthorhombic
Formation energy from the elements = 360 meV/atom


Entry 8:
Here is a geometry-optimized TlCo2Ag structure from Alexandria via LeMat-Bulk. Energies are from PBE-GGA.

Cell: 3.005 4.103 5.455 Å, 90.00 105.82 90.00°
Space group Pm (No. 6)
Unique sites:
Tl 0.000 0.000 0.000
Co 0.270 0.000 0.542
Co 0.378 0.500 0.756
Ag 0.662 0.500 0.325

Calculated values
Total magnetic moment = 3.1 μB/f.u.
ΔE to the lowest computed polymorph = 129 meV per atom
Crystal system = monoclinic
Formation energy from the elements = 502 meV/atom


Entry 9:
Here is a geometry-optimized Tl2CoAg structure from Alexandria via LeMat-Bulk. Energies are from PBE-GGA.

Cell: 3.234 3.200 7.653 Å, 90.00 91.47 90.00°
Space group P2/m (No. 10)
Unique sites:
Tl 0.006 0.000 0.217
Co 0.500 0.500 0.000
Ag 0.500 0.500 0.500

Calculated values
Total magnetic moment = 1.0 μB/f.u.
ΔE to the lowest computed polymorph = 76 meV per atom
Crystal system = monoclinic
Formation energy from the elements = 435 meV/atom


Entry 10:
Here is a geometry-optimized Tl2CoAg structure from Alexandria via LeMat-Bulk. Energies are from PBE-GGA.

Cell: 7.641 7.641 6.045 Å, 90.00 90.00 90.00°
Space group I-42d (No. 122)
Unique sites:
Tl 0.217 0.250 0.125
Co 0.000 0.000 0.000
Ag 0.000 0.000 0.500

Calculated values
Total magnetic moment = 1.3 μB/f.u.
ΔE to the lowest computed polymorph = 231 meV per atom
Crystal system = tetragonal
Formation energy from the elements = 590 meV/atom


Entry 11:
Here is a geometry-optimized Tl2Co2Ag structure from Alexandria via LeMat-Bulk. Energies are from PBE-GGA.

Cell: 3.310 3.310 17.674 Å, 90.00 90.00 90.00°
Space group I4/mmm (No. 139)
Unique sites:
Tl 0.000 0.000 0.118
Co 0.000 0.500 0.250
Ag 0.000 0.000 0.500

Calculated values
Total magnetic moment = 3.1 μB/f.u.
ΔE to the lowest computed polymorph = 0 meV per atom
Crystal system = tetragonal
Formation energy from the elements = 417 meV/atom


Entry 12:
Here is a geometry-optimized Tl4CoAg structure from Alexandria via LeMat-Bulk. Energies are from PBE-GGA.

Cell: 8.789 8.789 8.789 Å, 90.00 90.00 90.00°
Space group F-43m (No. 216)
Unique sites:
Tl 0.125 0.125 0.125
Co 0.000 0.000 0.500
Ag 0.250 0.250 0.750

Calculated values
Total magnetic moment = 2.0 μB/f.u.
Crystal system = cubic
Formation energy from the elements = 797 meV/atom


Entry 13:
Here is a geometry-optimized TlCo2Ag structure from Alexandria via LeMat-Bulk. Energies are from PBE-GGA.

Cell: 4.297 4.297 3.348 Å, 90.00 90.00 90.00°
Space group P4/mmm (No. 123)
Unique sites:
Tl 0.000 0.000 0.000
Co 0.000 0.500 0.500
Ag 0.500 0.500 0.000

Calculated values
Total magnetic moment = 2.5 μB/f.u.
ΔE to the lowest computed polymorph = 190 meV per atom
Crystal system = tetragonal
Formation energy from the elements = 562 meV/atom


Entry 14:
Here is a geometry-optimized TlCo2Ag structure from Alexandria via LeMat-Bulk. Energies are from PBE-GGA.

Cell: 3.976 3.976 7.910 Å, 90.00 90.00 90.00°
Space group I-4m2 (No. 119)
Unique sites:
Tl 0.000 0.000 0.000
Co 0.000 0.000 0.500
Co 0.000 0.500 0.250
Ag 0.000 0.500 0.750

Calculated values
Total magnetic moment = 3.0 μB/f.u.
ΔE to the lowest computed polymorph = 179 meV per atom
Crystal system = tetragonal
Formation energy from the elements = 551 meV/atom


Entry 15:
Here is a geometry-optimized Tl2CoAg structure from Alexandria via LeMat-Bulk. Energies are from PBE-GGA.

Cell: 6.431 8.855 3.188 Å, 90.00 112.55 90.00°
Space group C2/m (No. 12)
Unique sites:
Tl 0.250 0.250 0.000
Co 0.000 0.000 0.500
Ag 0.000 0.500 0.500

Calculated values
Total magnetic moment = 1.5 μB/f.u.
ΔE to the lowest computed polymorph = 194 meV per atom
Crystal system = monoclinic
Formation energy from the elements = 553 meV/atom


Entry 16:
Here is a geometry-optimized TlCo2Ag structure from Alexandria via LeMat-Bulk. Energies are from PBE-GGA.

Cell: 3.1338 3.1338 24.8734 Å, 90.00 90.00 120.00°
Space group R3m (No. 160, hexagonal axes)
Unique sites:
Tl 0.0000 0.0000 0.0000
Co 0.0000 0.0000 0.2410
Co 0.0000 0.0000 0.5200
Ag 0.0000 0.0000 0.7702

Calculated values
Total magnetic moment = 3.9 μB/f.u.
ΔE to the lowest computed polymorph = 171 meV per atom
Crystal system = trigonal
Formation energy from the elements = 543 meV/atom


Entry 17:
Here is a geometry-optimized TlCo2Ag structure from Alexandria via LeMat-Bulk. Energies are from PBE-GGA.

Cell: 2.9554 2.9554 25.8241 Å, 90.00 90.00 120.00°
Space group R-3m (No. 166, hexagonal axes)
Unique sites:
Tl 0.0000 0.0000 0.0000
Co 0.0000 0.0000 0.2486
Ag 0.0000 0.0000 0.5000

Calculated values
Total magnetic moment = 2.8 μB/f.u.
ΔE to the lowest computed polymorph = 339 meV per atom
Crystal system = trigonal
Formation energy from the elements = 712 meV/atom


Entry 18:
Here is a geometry-optimized TlCo2Ag structure from Alexandria via LeMat-Bulk. Energies are from PBE-GGA.

Cell: 3.264 4.471 8.816 Å, 90.00 90.00 90.00°
Space group Imm2 (No. 44)
Unique sites:
Tl 0.000 0.000 0.000
Co 0.000 0.000 0.546
Co 0.000 0.500 0.231
Ag 0.000 0.500 0.781

Calculated values
Total magnetic moment = 3.3 μB/f.u.
ΔE to the lowest computed polymorph = 106 meV per atom
Crystal system = orthorhombic
Formation energy from the elements = 479 meV/atom


Entry 19:
Here is a geometry-optimized TlCo2Ag structure from Alexandria via LeMat-Bulk. Energies are from PBE-GGA.

Cell: 3.018 3.018 7.213 Å, 90.00 90.00 90.00°
Space group P4mm (No. 99)
Unique sites:
Tl 0.000 0.000 0.000
Co 0.000 0.000 0.571
Co 0.500 0.500 0.721
Ag 0.500 0.500 0.326

Calculated values
Total magnetic moment = 3.5 μB/f.u.
ΔE to the lowest computed polymorph = 0 meV per atom
Crystal system = tetragonal
Formation energy from the elements = 373 meV/atom


Entry 20:
Here is a geometry-optimized Tl2CoAg structure from Alexandria via LeMat-Bulk. Energies are from PBE-GGA.

Cell: 4.817 4.817 3.453 Å, 90.00 90.00 90.00°
Space group P4/mmm (No. 123)
Unique sites:
Tl 0.000 0.500 0.000
Co 0.000 0.000 0.500
Ag 0.500 0.500 0.500

Calculated values
Total magnetic moment = 1.5 μB/f.u.
ΔE to the lowest computed polymorph = 138 meV per atom
Crystal system = tetragonal
Formation energy from the elements = 498 meV/atom


Entry 21:
Here is a geometry-optimized TlCo2Ag structure from Alexandria via LeMat-Bulk. Energies are from PBE-GGA.

Cell: 6.276 6.276 6.276 Å, 90.00 90.00 90.00°
Space group Fm-3m (No. 225)
Unique sites:
Tl 0.000 0.000 0.000
Co 0.250 0.250 0.250
Ag 0.000 0.000 0.500

Calculated values
Total magnetic moment = 2.5 μB/f.u.
ΔE to the lowest computed polymorph = 183 meV per atom
Crystal system = cubic
Formation energy from the elements = 555 meV/atom


Entry 22:
Here is a geometry-optimized Tl2CoAg structure from Alexandria via LeMat-Bulk. Energies are from PBE-GGA.

Cell: 6.829 6.829 6.829 Å, 90.00 90.00 90.00°
Space group Fm-3m (No. 225)
Unique sites:
Tl 0.250 0.250 0.250
Co 0.000 0.000 0.000
Ag 0.000 0.000 0.500

Calculated values
Total magnetic moment = 1.0 μB/f.u.
ΔE to the lowest computed polymorph = 154 meV per atom
Crystal system = cubic
Formation energy from the elements = 514 meV/atom


Entry 23:
Here is a geometry-optimized TlCo2Ag structure from Alexandria via LeMat-Bulk. Energies are from PBE-GGA.

Cell: 9.201 3.082 4.970 Å, 90.00 106.92 90.00°
Space group C2/m (No. 12)
Unique sites:
Tl 0.000 0.000 0.000
Co 0.249 0.500 0.316
Ag 0.000 0.500 0.500

Calculated values
Total magnetic moment = 3.4 μB/f.u.
ΔE to the lowest computed polymorph = 210 meV per atom
Crystal system = monoclinic
Formation energy from the elements = 583 meV/atom


Entry 24:
Here is a geometry-optimized TlCo2Ag structure from Alexandria via LeMat-Bulk. Energies are from PBE-GGA.

Cell: 2.949 3.823 5.750 Å, 90.00 90.08 90.00°
Space group P2/m (No. 10)
Unique sites:
Tl 0.000 0.000 0.000
Co 0.499 0.500 0.290
Ag 0.000 0.000 0.500

Calculated values
Total magnetic moment = 3.2 μB/f.u.
ΔE to the lowest computed polymorph = 219 meV per atom
Crystal system = monoclinic
Formation energy from the elements = 592 meV/atom


Entry 25:
Here is a geometry-optimized TlCo2Ag structure from Alexandria via LeMat-Bulk. Energies are from PBE-GGA.

Cell: 3.933 3.933 18.868 Å, 90.00 90.00 90.00°
Space group I-42d (No. 122)
Unique sites:
Tl 0.000 0.000 0.000
Co 0.165 0.250 0.625
Ag 0.000 0.000 0.500

Calculated values
Total magnetic moment = 3.1 μB/f.u.
ΔE to the lowest computed polymorph = 397 meV per atom
Crystal system = tetragonal
Formation energy from the elements = 770 meV/atom


Entry 26:
Here is a geometry-optimized TlVCo2Ag structure from Alexandria via LeMat-Bulk. Energies are from PBE-GGA.

Cell: 4.778 4.778 5.001 Å, 90.00 90.00 90.00°
Space group P4/mmm (No. 123)
Unique sites:
Tl 0.000 0.000 0.000
V 0.000 0.000 0.500
Co 0.000 0.500 0.000
Ag 0.500 0.500 0.500

Calculated values
Total magnetic moment = 3.2 μB/f.u.
Crystal system = tetragonal
Formation energy from the elements = 1848 meV/atom


Entry 27:
Here is a geometry-optimized TmCoAg structure from Alexandria via LeMat-Bulk. Energies are from PBE-GGA.

Cell: 12.464 3.870 4.853 Å, 90.00 101.25 90.00°
Space group C2/m (No. 12)
Unique sites:
Tm 0.128 0.000 0.330
Co 0.232 0.000 0.891
Ag 0.072 0.500 0.780

Calculated values
Total magnetic moment = 0.6 μB/f.u.
Crystal system = monoclinic
Formation energy from the elements = -153 meV/atom


Entry 28:
Here is a geometry-optimized Tm12Co6Ag structure from Alexandria via LeMat-Bulk. Energies are from PBE-GGA.

Cell: 13.3488 13.3488 8.5643 Å, 90.00 90.00 120.00°
Space group R-3 (No. 148, hexagonal axes)
Unique sites:
Tm 0.0386 0.7782 0.4259
Tm 0.0623 0.8812 0.8314
Co 0.0775 0.5745 0.7888
Ag 0.0000 0.0000 0.5000

Calculated values
Total magnetic moment = 0.0 μB/f.u.
ΔE to the lowest computed polymorph = 124 meV per atom
Crystal system = trigonal
Formation energy from the elements = -119 meV/atom